Here is an optimized crystal structure of KCuMo2 from the Alexandria database. Energies are from GGA-PBEsol.

## Properties
The calculation puts the spin magnetization at 0.31 μB per cell. As for the mass density: 7.0 Mg/m³. For the density of states at the Fermi level, the calculation gives 0.851 states/eV per atom. As for the calculated total energy: -23.9 eV per cell. The energy of formation is 1.28 eV/atom.

```
4
Lattice="2.565 0.000 0.000 0.000 5.011 0.000 0.000 0.000 5.465" Properties=species:S:1:pos:R:3 pbc="T T T"
K 0.000 0.000 0.000
Cu 1.282 2.505 0.000
Mo 0.000 2.505 2.733
Mo 1.282 0.000 2.733
```

Here is an optimized crystal structure of CrCu2Cl from the Alexandria database. Energies are from GGA-PBEsol.

## Properties
The calculation puts the spin magnetization at 3.38 μB per cell. As for the mass density: 5.1 Mg/m³. For the density of states at the Fermi level, the calculation gives 0.430 states/eV per atom. As for the calculated total energy: -19.9 eV per cell.

```
4
Lattice="3.930 -1.465 0.000 3.930 1.465 0.000 -0.831 0.000 6.045" Properties=species:S:1:pos:R:3 pbc="T T T"
Cr 0.000 0.000 0.000
Cu 1.389 0.000 4.892
Cu 3.592 0.000 4.001
Cl 4.134 0.000 1.765
```

Here is an optimized crystal structure of Mn2MoPt from the Alexandria database. Energies are from GGA-PBEsol.

## Properties
The calculation puts the spin magnetization at 1.90 μB per cell. As for the mass density: 13.0 Mg/m³. For the density of states at the Fermi level, the calculation gives 0.850 states/eV per atom. As for the calculated total energy: -38.6 eV per cell. The energy of formation is -0.09 eV/atom.

```
4
Lattice="3.788 0.000 0.000 0.000 3.788 0.000 0.000 0.000 3.580" Properties=species:S:1:pos:R:3 pbc="T T T"
Mn 0.000 1.894 0.000
Mn 1.894 0.000 0.000
Mo 0.000 0.000 1.790
Pt 1.894 1.894 1.790
```